1.
A geometry-optimized SrHgRu2 structure, computed with PBE-GGA.

Results
**Crystal system**: trigonal
**SG**: R-3m, No. 166
**Energy of formation from the pure elements**: 0.9181 eV/atom
**M_tot**: 0.82 μB/f.u.
**Calculated volume**: 19.54 Å³/atom

Cell: 9.7151 9.7151 9.7151 Å, 18.21 18.21 18.21°
Last column: nearest neighbours and their distance in Å.
Fractional coordinates of all 4 atoms:
Hg 0.7500 0.7500 0.7500  6 Ru 2.86, 6 Hg 3.07
Ru 0.4947 0.4947 0.4947  3 Hg 2.86, 6 Ru 3.07, 3 Sr 3.10
Ru 0.0053 0.0053 0.0053  3 Hg 2.86, 6 Ru 3.07, 3 Sr 3.10
Sr 0.2500 0.2500 0.2500  6 Sr 3.07, 6 Ru 3.10

=====

2.
A geometry-optimized CsSn2Pd structure, computed with PBE-GGA.

Results
**Crystal system**: trigonal
**SG**: R-3m, No. 166
**Energy of formation from the pure elements**: -0.3764 eV/atom
**M_tot**: 0.00 μB/f.u.
**Calculated volume**: 33.65 Å³/atom

Cell: 4.5391 4.5391 7.9852 Å, 73.49 73.49 60.00°
Last column: nearest neighbours and their distance in Å.
Fractional coordinates of all 4 atoms:
Cs 0.5000 0.5000 0.5000  6 Sn 3.88
Sn 0.2930 0.2930 0.1210  3 Pd 2.78
Sn 0.7070 0.7070 0.8790  3 Pd 2.78
Pd 0.0000 0.0000 0.0000  6 Sn 2.78

=====

no.,VASP energy (eV/cell)
1,-16.9
2,-15.6